[1]
Computed, not measured: a relaxed Rb3Pa3AgS8 crystal at the GGA-PBE level of DFT.

CIF file:
```
data_Rb3Pa3AgS8
_chemical_formula_sum 'Rb6 Pa6 Ag2 S16'
_cell_length_a 14.0188
_cell_length_b 8.1016
_cell_length_c 9.0709
_cell_angle_alpha 90.00
_cell_angle_beta 120.98
_cell_angle_gamma 90.00
_symmetry_space_group_name_H-M 'C 1 2/m 1'
_symmetry_Int_Tables_number 12
_symmetry_space_group_name_Hall '-C 2y'
loop_
_atom_site_label
_atom_site_fract_x
_atom_site_fract_y
_atom_site_fract_z
Rb1 0.0000 0.0000 0.0000
Rb2 0.2500 0.2500 0.0000
Pa1 0.0000 0.5000 0.5000
Pa2 0.2500 0.2500 0.5000
Ag1 0.0000 0.0000 0.5000
S1 0.0245 0.2645 0.3091
S2 0.2313 0.5000 0.6936
S3 0.2393 0.0000 0.6904
```

- theoretical density (g/cm3) = 4.94
- E_form (uncorrected) (eV/atom) = -1.3564
- volume (Å³ per cell) = 883

---

[2]
Computed, not measured: a relaxed HfI4 crystal at the GGA-PBE level of DFT.

CIF file:
```
data_HfI4
_chemical_formula_sum 'Hf2 I8'
_cell_length_a 6.8385
_cell_length_b 6.8385
_cell_length_c 12.8887
_cell_angle_alpha 90.00
_cell_angle_beta 90.00
_cell_angle_gamma 90.00
_symmetry_space_group_name_H-M 'P -4 21 c'
_symmetry_Int_Tables_number 114
_symmetry_space_group_name_Hall 'P -4 2n'
loop_
_atom_site_label
_atom_site_fract_x
_atom_site_fract_y
_atom_site_fract_z
Hf1 0.0000 0.0000 0.0000
I1 0.2244 0.2272 0.8801
```

- theoretical density (g/cm3) = 3.78
- E_form (uncorrected) (eV/atom) = -0.8592
- volume (Å³ per cell) = 603

---

[3]
Computed, not measured: a relaxed ThAsPd crystal at the GGA-PBE level of DFT.

CIF file:
```
data_ThAsPd
_chemical_formula_sum 'Th4 As4 Pd4'
_cell_length_a 4.3498
_cell_length_b 10.8340
_cell_length_c 5.8453
_cell_angle_alpha 90.00
_cell_angle_beta 90.00
_cell_angle_gamma 90.00
_symmetry_space_group_name_H-M 'C m c m'
_symmetry_Int_Tables_number 63
_symmetry_space_group_name_Hall '-C 2c 2'
loop_
_atom_site_label
_atom_site_fract_x
_atom_site_fract_y
_atom_site_fract_z
Th1 0.0000 0.1346 0.2500
As1 0.0000 0.1724 0.7500
Pd1 0.0000 0.4484 0.2500
```

- theoretical density (g/cm3) = 9.97
- energy of formation from the pure elements (meV/atom) = -996
- volume (Å³ per cell) = 275

---

[4]
Computed, not measured: a relaxed Tm2Cd3Hg crystal at the GGA-PBE level of DFT.

CIF file:
```
data_Tm2Cd3Hg
_chemical_formula_sum 'Tm16 Cd24 Hg8'
_cell_length_a 6.7825
_cell_length_b 9.8763
_cell_length_c 17.0702
_cell_angle_alpha 90.00
_cell_angle_beta 90.00
_cell_angle_gamma 90.00
_symmetry_space_group_name_H-M 'F m m m'
_symmetry_Int_Tables_number 69
_symmetry_space_group_name_Hall '-F 2 2'
loop_
_atom_site_label
_atom_site_fract_x
_atom_site_fract_y
_atom_site_fract_z
Tm1 0.2483 0.0000 0.0000
Tm2 0.2500 0.2500 0.2500
Cd1 0.0000 0.0000 0.3344
Cd2 0.0000 0.2486 0.4169
Hg1 0.0000 0.0000 0.1665
```

- theoretical density (g/cm3) = 10.17
- energy of formation from the pure elements (meV/atom) = -313
- volume (Å³ per cell) = 1143